# 1
# PBE-GGA Tl2GeP2, optimized geometry
# Energy relative to the lowest polymorph listed for this composition in meV/atom: 0
data_Tl2GeP2
_chemical_formula_sum 'Tl4 Ge2 P4'
_symmetry_space_group_name_H-M 'P 4/m b m'
_symmetry_Int_Tables_number 127
_symmetry_space_group_name_Hall '-P 4 2ab'
_cell_length_a 7.5438
_cell_length_b 7.5438
_cell_length_c 4.0139
_cell_angle_alpha 90.00
_cell_angle_beta 90.00
_cell_angle_gamma 90.00
loop_
_atom_site_label
_atom_site_fract_x
_atom_site_fract_y
_atom_site_fract_z
Tl1 0.1493 0.3507 0.0000
Ge1 0.0000 0.0000 0.5000
P1 0.1710 0.6710 0.5000


# 2
# PBE-GGA CaSi2Ir, optimized geometry
# E_form (uncorrected) in eV per atom: 0.029
data_CaSi2Ir
_chemical_formula_sum 'Ca2 Si4 Ir2'
_symmetry_space_group_name_H-M 'I -4 m 2'
_symmetry_Int_Tables_number 119
_symmetry_space_group_name_Hall 'I -4 -2'
_cell_length_a 4.0002
_cell_length_b 4.0002
_cell_length_c 8.3814
_cell_angle_alpha 90.00
_cell_angle_beta 90.00
_cell_angle_gamma 90.00
loop_
_atom_site_label
_atom_site_fract_x
_atom_site_fract_y
_atom_site_fract_z
Ca1 0.0000 0.0000 0.0000
Si1 0.0000 0.0000 0.5000
Si2 0.0000 0.5000 0.2500
Ir1 0.0000 0.5000 0.7500


# 3
# PBE-GGA TaZn2W, optimized geometry
# Energy relative to the lowest polymorph listed for this composition in meV/atom: 319
data_TaZn2W
_chemical_formula_sum 'Ta4 Zn8 W4'
_symmetry_space_group_name_H-M 'F -4 3 m'
_symmetry_Int_Tables_number 216
_symmetry_space_group_name_Hall 'F -4 2 3'
_cell_length_a 6.3722
_cell_length_b 6.3722
_cell_length_c 6.3722
_cell_angle_alpha 90.00
_cell_angle_beta 90.00
_cell_angle_gamma 90.00
loop_
_atom_site_label
_atom_site_fract_x
_atom_site_fract_y
_atom_site_fract_z
Ta1 0.0000 0.0000 0.0000
Zn1 0.0000 0.0000 0.5000
Zn2 0.2500 0.2500 0.2500
W1 0.2500 0.2500 0.7500


# 4
# PBE-GGA Be3IrAu, optimized geometry
# Energy relative to the lowest polymorph listed for this composition in meV/atom: 473
data_Be3IrAu
_chemical_formula_sum 'Be3 Ir1 Au1'
_symmetry_space_group_name_H-M 'P m -3 m'
_symmetry_Int_Tables_number 221
_symmetry_space_group_name_Hall '-P 4 2 3'
_cell_length_a 4.1750
_cell_length_b 4.1750
_cell_length_c 4.1750
_cell_angle_alpha 90.00
_cell_angle_beta 90.00
_cell_angle_gamma 90.00
loop_
_atom_site_label
_atom_site_fract_x
_atom_site_fract_y
_atom_site_fract_z
Be1 0.0000 0.0000 0.5000
Ir1 0.5000 0.5000 0.5000
Au1 0.0000 0.0000 0.0000


# 5
# PBE-GGA LiCeTl2Cl6, optimized geometry
# E_form (uncorrected) in eV per atom: -1.654
data_LiCeTl2Cl6
_chemical_formula_sum 'Li2 Ce2 Tl4 Cl12'
_symmetry_space_group_name_H-M 'P 1 21/c 1'
_symmetry_Int_Tables_number 14
_cell_length_a 7.3552
_cell_length_b 7.5804
_cell_length_c 12.7564
_cell_angle_alpha 90.00
_cell_angle_beta 124.80
_cell_angle_gamma 90.00
loop_
_symmetry_equiv_pos_as_xyz
'x,y,z'
'-x,-y,-z'
'-x,y+1/2,-z+1/2'
'x,-y+1/2,z+1/2'
loop_
_atom_site_label
_atom_site_fract_x
_atom_site_fract_y
_atom_site_fract_z
Li1 0.0000 0.0000 0.0000
Ce1 0.5000 0.0000 0.5000
Tl1 0.2322 0.0588 0.7478
Cl1 0.1580 0.2108 0.4587
Cl2 0.2490 0.7030 0.4590
Cl3 0.3230 0.0170 0.2423


# 6
# PBE-GGA Pm2Ho3TmS6, optimized geometry
# E_form (uncorrected) in eV per atom: -1.985
data_Pm2Ho3TmS6
_chemical_formula_sum 'Pm4 Ho6 Tm2 S12'
_symmetry_space_group_name_H-M 'C 1 2/m 1'
_symmetry_Int_Tables_number 12
_cell_length_a 17.1065
_cell_length_b 3.9115
_cell_length_c 7.9032
_cell_angle_alpha 90.00
_cell_angle_beta 103.48
_cell_angle_gamma 90.00
loop_
_symmetry_equiv_pos_as_xyz
'x,y,z'
'-x,-y,-z'
'-x,y,-z'
'x,-y,z'
'x+1/2,y+1/2,z'
'-x+1/2,-y+1/2,-z'
'-x+1/2,y+1/2,-z'
'x+1/2,-y+1/2,z'
loop_
_atom_site_label
_atom_site_fract_x
_atom_site_fract_y
_atom_site_fract_z
Pm1 0.1679 0.0000 0.3361
Ho1 0.0000 0.5000 0.5000
Ho2 0.1694 0.0000 0.8330
Tm1 0.0000 0.5000 0.0000
S1 0.0038 0.0000 0.7554
S2 0.1629 0.5000 0.5915
S3 0.1643 0.5000 0.0728


# 7
# PBE-GGA KPdAu3, optimized geometry
# Energy relative to the lowest polymorph listed for this composition in meV/atom: 0
data_KPdAu3
_chemical_formula_sum 'K4 Pd4 Au12'
_symmetry_space_group_name_H-M 'C m c m'
_symmetry_Int_Tables_number 63
_symmetry_space_group_name_Hall '-C 2c 2'
_cell_length_a 5.8861
_cell_length_b 13.2763
_cell_length_c 5.5568
_cell_angle_alpha 90.00
_cell_angle_beta 90.00
_cell_angle_gamma 90.00
loop_
_atom_site_label
_atom_site_fract_x
_atom_site_fract_y
_atom_site_fract_z
K1 0.0000 0.0888 0.2500
Pd1 0.0000 0.5000 0.0000
Au1 0.0000 0.3197 0.7500
Au2 0.2404 0.3505 0.2500


# 8
# PBE-GGA Be2TeRuAu, optimized geometry
# E_form (uncorrected) in eV per atom: 1.625
data_Be2TeRuAu
_chemical_formula_sum 'Be2 Te1 Ru1 Au1'
_symmetry_space_group_name_H-M 'P 4/m m m'
_symmetry_Int_Tables_number 123
_symmetry_space_group_name_Hall '-P 4 2'
_cell_length_a 4.4552
_cell_length_b 4.4552
_cell_length_c 5.2303
_cell_angle_alpha 90.00
_cell_angle_beta 90.00
_cell_angle_gamma 90.00
loop_
_atom_site_label
_atom_site_fract_x
_atom_site_fract_y
_atom_site_fract_z
Be1 0.0000 0.5000 0.0000
Te1 0.0000 0.0000 0.0000
Ru1 0.5000 0.5000 0.5000
Au1 0.0000 0.0000 0.5000


# 9
# PBE-GGA CdTe2F, optimized geometry
# E_form (uncorrected) in eV per atom: -0.397
# Energy relative to the lowest polymorph listed for this composition in meV/atom: 458
data_CdTe2F
_chemical_formula_sum 'Cd4 Te8 F4'
_symmetry_space_group_name_H-M 'F m -3 m'
_symmetry_Int_Tables_number 225
_symmetry_space_group_name_Hall '-F 4 2 3'
_cell_length_a 7.0587
_cell_length_b 7.0587
_cell_length_c 7.0587
_cell_angle_alpha 90.00
_cell_angle_beta 90.00
_cell_angle_gamma 90.00
loop_
_atom_site_label
_atom_site_fract_x
_atom_site_fract_y
_atom_site_fract_z
Cd1 0.0000 0.0000 0.0000
Te1 0.2500 0.2500 0.2500
F1 0.0000 0.0000 0.5000


# 10
# PBE-GGA La2NbCo2, optimized geometry
# Energy relative to the lowest polymorph listed for this composition in meV/atom: 0
data_La2NbCo2
_chemical_formula_sum 'La4 Nb2 Co4'
_symmetry_space_group_name_H-M 'P 4/m b m'
_symmetry_Int_Tables_number 127
_symmetry_space_group_name_Hall '-P 4 2ab'
_cell_length_a 6.7377
_cell_length_b 6.7377
_cell_length_c 4.6287
_cell_angle_alpha 90.00
_cell_angle_beta 90.00
_cell_angle_gamma 90.00
loop_
_atom_site_label
_atom_site_fract_x
_atom_site_fract_y
_atom_site_fract_z
La1 0.1713 0.3287 0.0000
Nb1 0.0000 0.0000 0.5000
Co1 0.1445 0.6445 0.5000


# 11
# PBE-GGA Al2CoMo2, optimized geometry
# Electronic total energy in eV per atom: -7.204
data_Al2CoMo2
_chemical_formula_sum 'Al4 Co2 Mo4'
_symmetry_space_group_name_H-M 'P 4/m b m'
_symmetry_Int_Tables_number 127
_symmetry_space_group_name_Hall '-P 4 2ab'
_cell_length_a 6.2741
_cell_length_b 6.2741
_cell_length_c 3.6709
_cell_angle_alpha 90.00
_cell_angle_beta 90.00
_cell_angle_gamma 90.00
loop_
_atom_site_label
_atom_site_fract_x
_atom_site_fract_y
_atom_site_fract_z
Al1 0.1393 0.3607 0.0000
Co1 0.0000 0.0000 0.0000
Mo1 0.1679 0.6679 0.5000


# 12
# PBE-GGA SrSnSe2F, optimized geometry
# E_form (uncorrected) in eV per atom: -1.748
data_SrSnSe2F
_chemical_formula_sum 'Sr2 Sn2 Se4 F2'
_symmetry_space_group_name_H-M 'P 4/n m m'
_symmetry_Int_Tables_number 129
_cell_length_a 4.1080
_cell_length_b 4.1080
_cell_length_c 14.4047
_cell_angle_alpha 90.00
_cell_angle_beta 90.00
_cell_angle_gamma 90.00
loop_
_symmetry_equiv_pos_as_xyz
'x,y,z'
'-x,-y,-z'
'-y+1/2,x,z'
'y+1/2,-x,-z'
'-x+1/2,-y+1/2,z'
'x+1/2,y+1/2,-z'
'y,-x+1/2,z'
'-y,x+1/2,-z'
'x+1/2,-y,-z'
'-x+1/2,y,z'
'-y,-x,-z'
'y,x,z'
'-x,y+1/2,-z'
'x,-y+1/2,z'
'y+1/2,x+1/2,-z'
'-y+1/2,-x+1/2,z'
loop_
_atom_site_label
_atom_site_fract_x
_atom_site_fract_y
_atom_site_fract_z
Sr1 0.2500 0.2500 0.1011
Sn1 0.2500 0.2500 0.6236
Se1 0.2500 0.2500 0.3994
Se2 0.2500 0.2500 0.8027
F1 0.2500 0.7500 0.0000